Density functional theory data (PBE-GGA) for crystalline PdAu2I at its relaxed geometry.

Computed properties:
**Formation energy from raw total energies**: 0.299 eV per atom
**Theoretical density**: 11.78 g/cm³
**Offset from the most stable computed form**: 0 meV per atom

abc: 8.0570 8.0570 5.4505
angles: 90.00 90.00 90.00
With the nearest neighbours (Å) after each atom.
Space group I-42d (No. 122)
Unique sites:
1 Pd 0.0000 0.0000 0.0000  2 I 2.73, 4 Au 2.81
2 Au 0.2280 0.7500 0.1250  2 Au 2.75, 2 Pd 2.81, 2 I 3.05
3 I 0.0000 0.0000 0.5000  2 Pd 2.73